Sr2CaSb: relaxed, PBE.

Cell lengths 10.745, 10.745, 10.745 Å; angles 25.39, 25.39, 25.39 degrees
Sites, in units of the cell vectors:
Sr1 0.223 0.223 0.223
Sr2 0.777 0.777 0.777
Ca1 0.000 0.000 0.000
Sb1 0.500 0.500 0.500

raw formation energy	-0.41	eV/atom
density of states at the Fermi level	3.96	states/eV/f.u.



PrNdRe4: relaxed, PBE.

Cell lengths 5.519, 5.519, 5.519 Å; angles 60.00, 60.00, 60.00 degrees
Sites, in units of the cell vectors:
Pr1 0.000 0.000 0.000
Nd1 0.750 0.750 0.750
Re1 0.375 0.375 0.375
Re2 0.375 0.375 0.875
Re3 0.375 0.875 0.375
Re4 0.875 0.375 0.375

density of states at the Fermi level	8.56	states/eV/f.u.
energy relative to the elements	0.084	eV per atom



ZnCd2Ir: relaxed, PBE.

Cell lengths 5.131, 5.131, 5.131 Å; angles 133.94, 133.94, 67.19 degrees
Sites, in units of the cell vectors:
Zn1 0.000 0.000 0.000
Cd1 0.250 0.750 0.500
Cd2 0.500 0.500 0.000
Ir1 0.750 0.250 0.500

density of states at the Fermi level	1.30	states/eV/f.u.
energy relative to the elements	0.053	eV per atom



V2ZnOs2: relaxed, PBE.

Cell lengths 7.289, 7.289, 2.814 Å; angles 90.00, 90.00, 90.00 degrees
Sites, in units of the cell vectors:
V1 0.146 0.354 0.000
V2 0.354 0.854 0.000
V3 0.646 0.146 0.000
V4 0.854 0.646 0.000
Zn1 0.000 0.000 0.000
Zn2 0.500 0.500 0.000
Os1 0.149 0.649 0.500
Os2 0.351 0.149 0.500
Os3 0.649 0.851 0.500
Os4 0.851 0.351 0.500

energy above the most stable polymorph in this dataset	0.39	eV per formula unit
density of states at the Fermi level	3.81	states/eV/f.u.
energy relative to the elements	0.094	eV per atom



ScFeTc2: relaxed, PBE.

Cell lengths 9.028, 9.028, 9.028 Å; angles 17.99, 17.99, 17.99 degrees
Sites, in units of the cell vectors:
Sc1 0.000 0.000 0.000
Fe1 0.250 0.250 0.250
Tc1 0.503 0.503 0.503
Tc2 0.758 0.758 0.758

energy above the most stable polymorph in this dataset	0.97	eV per formula unit
density of states at the Fermi level	2.99	states/eV/f.u.
energy relative to the elements	0.197	eV per atom



PrEr2Tm: relaxed, PBE.

Cell lengths 5.664, 5.664, 5.664 Å; angles 60.00, 60.00, 60.00 degrees
Sites, in units of the cell vectors:
Pr1 0.000 0.000 0.000
Er1 0.250 0.250 0.250
Er2 0.750 0.750 0.750
Tm1 0.500 0.500 0.500

energy above the most stable polymorph in this dataset	0.45	eV per formula unit
density of states at the Fermi level	7.01	states/eV/f.u.
energy relative to the elements	0.128	eV per atom



BaLa2N: relaxed, PBE.

Cell lengths 10.685, 10.685, 10.685 Å; angles 20.26, 20.26, 20.26 degrees
Sites, in units of the cell vectors:
Ba1 0.000 0.000 0.000
La1 0.122 0.122 0.122
La2 0.878 0.878 0.878
N1 0.500 0.500 0.500

raw formation energy	-0.57	eV/atom
density of states at the Fermi level	4.93	states/eV/f.u.



Cs2SrSnHg: relaxed, PBE.

Cell lengths 7.655, 7.655, 6.433 Å; angles 90.00, 90.00, 90.00 degrees
Sites, in units of the cell vectors:
Cs1 0.000 0.500 0.000
Cs2 0.500 0.000 0.000
Sr1 0.000 0.000 0.500
Sn1 0.000 0.000 0.000
Hg1 0.500 0.500 0.500

density of states at the Fermi level	4.02	states/eV/f.u.
energy relative to the elements	-0.008	eV per atom



LaCeDy2As4: relaxed, PBE.

Cell lengths 7.277, 4.211, 7.300 Å; angles 90.00, 109.47, 90.00 degrees
Sites, in units of the cell vectors:
La1 0.000 0.000 0.000
Ce1 0.000 0.500 0.500
Dy1 0.500 0.000 0.500
Dy2 0.500 0.500 0.000
As1 0.257 0.000 0.748
As2 0.260 0.500 0.258
As3 0.740 0.500 0.742
As4 0.743 0.000 0.252

density of states at the Fermi level	6.33	states/eV/f.u.
energy relative to the elements	-1.512	eV per atom



YPaGe2O8: relaxed, PBE.

Cell lengths 5.964, 5.964, 5.964 Å; angles 107.13, 107.13, 114.26 degrees
Sites, in units of the cell vectors:
Y1 0.000 0.000 0.000
Pa1 0.250 0.750 0.500
Ge1 0.500 0.500 0.000
Ge2 0.750 0.250 0.500
O1 0.320 0.132 0.812
O2 0.320 0.508 0.188
O3 0.380 0.061 0.319
O4 0.492 0.680 0.812
O5 0.742 0.061 0.681
O6 0.868 0.680 0.188
O7 0.939 0.258 0.319
O8 0.939 0.620 0.681

raw formation energy	-2.66	eV/atom
density of states at the Fermi level	0.00	states/eV/f.u.



Sc3Ga2Rh: relaxed, PBE.

Cell lengths 11.931, 4.613, 8.198 Å; angles 90.00, 90.00, 90.00 degrees
Sites, in units of the cell vectors:
Sc1 0.078 0.250 0.087
Sc2 0.099 0.750 0.586
Sc3 0.246 0.750 0.259
Sc4 0.254 0.250 0.759
Sc5 0.401 0.250 0.086
Sc6 0.422 0.750 0.587
Sc7 0.578 0.250 0.413
Sc8 0.599 0.750 0.914
Sc9 0.746 0.750 0.241
Sc10 0.754 0.250 0.741
Sc11 0.901 0.250 0.414
Sc12 0.922 0.750 0.913
Ga1 0.003 0.750 0.275
Ga2 0.162 0.750 0.928
Ga3 0.338 0.250 0.428
Ga4 0.497 0.250 0.775
Ga5 0.503 0.750 0.225
Ga6 0.662 0.750 0.572
Ga7 0.838 0.250 0.072
Ga8 0.997 0.250 0.725
Rh1 0.129 0.250 0.400
Rh2 0.371 0.750 0.900
Rh3 0.629 0.250 0.100
Rh4 0.871 0.750 0.600

energy above the most stable polymorph in this dataset	0.28	eV per formula unit
density of states at the Fermi level	4.22	states/eV/f.u.
energy relative to the elements	-0.701	eV per atom



PrZrPd2: relaxed, PBE.

Cell lengths 5.070, 5.070, 3.319 Å; angles 90.00, 90.00, 90.00 degrees
Sites, in units of the cell vectors:
Pr1 0.000 0.000 0.000
Zr1 0.500 0.500 0.000
Pd1 0.000 0.500 0.500
Pd2 0.500 0.000 0.500

density of states at the Fermi level	3.71	states/eV/f.u.
energy relative to the elements	-0.557	eV per atom



Tl4TePd: relaxed, PBE.

Cell lengths 7.976, 7.976, 5.999 Å; angles 100.00, 100.00, 109.56 degrees
Sites, in units of the cell vectors:
Tl1 0.062 0.711 0.932
Tl2 0.197 0.380 0.641
Tl3 0.289 0.938 0.568
Tl4 0.380 0.197 0.141
Tl5 0.620 0.803 0.859
Tl6 0.711 0.062 0.432
Tl7 0.803 0.620 0.359
Tl8 0.938 0.289 0.068
Te1 0.383 0.617 0.250
Te2 0.617 0.383 0.750
Pd1 0.006 0.994 0.250
Pd2 0.994 0.006 0.750

raw formation energy	-0.13	eV/atom
density of states at the Fermi level	2.09	states/eV/f.u.



TlZn2SiF: relaxed, PBE.

Cell lengths 4.983, 4.983, 3.947 Å; angles 90.00, 90.00, 90.00 degrees
Sites, in units of the cell vectors:
Tl1 0.000 0.000 0.000
Zn1 0.000 0.500 0.500
Zn2 0.500 0.000 0.500
Si1 0.500 0.500 0.500
F1 0.500 0.500 0.000

raw formation energy	-0.34	eV/atom
density of states at the Fermi level	1.54	states/eV/f.u.



Th2PaRh5Au: relaxed, PBE.

Cell lengths 8.053, 8.053, 8.053 Å; angles 117.56, 117.56, 94.27 degrees
Sites, in units of the cell vectors:
Th1 0.135 0.635 0.770
Th2 0.365 0.135 0.500
Th3 0.635 0.865 0.500
Th4 0.865 0.365 0.230
Pa1 0.250 0.250 0.000
Pa2 0.750 0.750 0.000
Rh1 0.000 0.000 0.000
Rh2 0.058 0.162 0.500
Rh3 0.162 0.662 0.104
Rh4 0.338 0.442 0.500
Rh5 0.442 0.942 0.104
Rh6 0.500 0.500 0.000
Rh7 0.558 0.058 0.896
Rh8 0.662 0.558 0.500
Rh9 0.838 0.338 0.896
Rh10 0.942 0.838 0.500
Au1 0.250 0.750 0.500
Au2 0.750 0.250 0.500

density of states at the Fermi level	8.48	states/eV/f.u.
energy relative to the elements	-0.367	eV per atom



Sm2ErPd: relaxed, PBE.

Cell lengths 10.064, 10.064, 10.064 Å; angles 21.25, 21.25, 21.25 degrees
Sites, in units of the cell vectors:
Sm1 0.234 0.234 0.234
Sm2 0.766 0.766 0.766
Er1 0.000 0.000 0.000
Pd1 0.500 0.500 0.500

energy above the most stable polymorph in this dataset	0.74	eV per formula unit
density of states at the Fermi level	4.24	states/eV/f.u.
energy relative to the elements	-0.257	eV per atom